Computed, not measured: a relaxed MgV2SnI crystal at the GGA-PBE level of DFT.

Cell: 5.2995 5.2995 5.2941 Å, 90.00 90.00 90.00°
Fractional positions:
Mg (0.0000, 0.0000, 0.0000)
V (0.0000, 0.5000, 0.5000)
V (0.5000, 0.0000, 0.5000)
Sn (0.0000, 0.0000, 0.5000)
I (0.5000, 0.5000, 0.0000)

Results
**DOS at the Fermi energy**: 5.58 states/eV per cell
**Final energy**: -21.2 eV for the cell shown
**E_form (uncorrected)**: 4.18 eV/f.u.
**Crystal system**: tetragonal

=====

Computed, not measured: a relaxed Mg2SnWI crystal at the GGA-PBE level of DFT.

Cell: 5.4084 5.4084 6.0119 Å, 90.00 90.00 90.00°
Fractional positions:
Mg (0.0000, 0.5000, 0.0000)
Mg (0.5000, 0.0000, 0.0000)
Sn (0.0000, 0.0000, 0.0000)
W (0.5000, 0.5000, 0.5000)
I (0.0000, 0.0000, 0.5000)

Results
**DOS at the Fermi energy**: 2.20 states/eV per cell
**Final energy**: -14.5 eV for the cell shown
**E_form (uncorrected)**: 7.21 eV/f.u.
**Crystal system**: tetragonal